1.
CePaCo2 | PBE-GGA | relaxed

## Properties
SG = P4/mmm
Offset from the most stable computed form = 145 meV/atom
ΔE_f = -0.19 eV per atom

abc: 3.3192 3.3192 6.8593
angles: 90.00 90.00 90.00
Each line ends with the local moment (μB).
Fractional positions:
Co: 0.0000 0.0000 0.1977  -0.06
Ce: 0.5000 0.5000 0.5000  0.50
Co: 0.0000 0.0000 0.8023  -0.06
Pa: 0.5000 0.5000 0.0000  0.06


2.
CePaCo2 | PBE-GGA | relaxed

## Properties
SG = R-3m
Offset from the most stable computed form = 103 meV/atom
ΔE_f = -0.24 eV per atom

abc: 3.7849 3.7849 6.6961
angles: 73.58 73.58 60.00
Fractional positions:
Co: 0.2540 0.2540 0.2381
Pa: 0.0000 0.0000 0.0000
Ce: 0.5000 0.5000 0.5000
Co: 0.7460 0.7460 0.7619


3.
Ce2PaCo | PBE-GGA | relaxed

## Properties
SG = P4/mmm
Offset from the most stable computed form = 0 meV/atom
ΔE_f = -0.03 eV per atom

abc: 3.4148 3.4148 7.5571
angles: 90.00 90.00 90.00
Fractional positions:
Ce: 0.0000 0.0000 0.7902
Ce: 0.0000 0.0000 0.2098
Co: 0.5000 0.5000 0.0000
Pa: 0.5000 0.5000 0.5000


4.
Ce3Pa2Co4 | PBE-GGA | relaxed

## Properties
SG = C2/m
ΔE_f = -0.27 eV per atom

abc: 3.6908 5.8569 8.9950
angles: 99.86 90.00 108.37
Fractional positions:
Pa: 0.6787 0.3573 0.7780
Co: 0.6935 0.3871 0.0751
Pa: 0.3213 0.6427 0.2220
Co: 0.9485 0.8970 0.3582
Ce: 0.0000 0.0000 0.0000
Ce: 0.3686 0.7371 0.6039
Ce: 0.6314 0.2629 0.3961
Co: 0.0515 0.1030 0.6418
Co: 0.3065 0.6129 0.9249


5.
CePaCo2 | PBE-GGA | relaxed

## Properties
SG = Fm-3m
Offset from the most stable computed form = 254 meV/atom
ΔE_f = -0.09 eV per atom

abc: 4.7002 4.7002 4.7002
angles: 60.00 60.00 60.00
Fractional positions:
Co: 0.2500 0.2500 0.2500
Pa: 0.5000 0.5000 0.5000
Co: 0.7500 0.7500 0.7500
Ce: 0.0000 0.0000 0.0000


6.
CePa2Co2 | PBE-GGA | relaxed

## Properties
SG = P-1
ΔE_f = -0.20 eV per atom

abc: 3.4096 6.4315 9.3081
angles: 83.48 79.39 89.96
Fractional positions:
Co: 0.5225 0.3095 0.4522
Ce: 0.9152 0.0057 0.6742
Pa: 0.9042 0.4668 0.6925
Pa: 0.0958 0.5332 0.3075
Pa: 0.2884 0.7832 0.9235
Ce: 0.0848 0.9943 0.3258
Co: 0.4775 0.6905 0.5478
Pa: 0.7116 0.2168 0.0765
Co: 0.6869 0.7178 0.1257
Co: 0.3131 0.2822 0.8743


7.
CePa3Co8 | PBE-GGA | relaxed

## Properties
SG = P3m1
ΔE_f = -0.28 eV per atom

abc: 4.9569 4.9569 8.2238
angles: 90.00 90.00 120.00
Fractional positions:
Co: 0.0054 0.5027 0.7531
Co: 0.3333 0.6667 0.4993
Co: 0.1688 0.8312 0.2476
Pa: 0.6667 0.3333 0.4410
Ce: 0.0000 0.0000 0.5607
Co: 0.4973 0.9946 0.7531
Co: 0.3333 0.6667 0.0011
Co: 0.4973 0.5027 0.7531
Pa: 0.6667 0.3333 0.0660
Pa: 0.0000 0.0000 0.9297
Co: 0.6624 0.8312 0.2476
Co: 0.1688 0.3376 0.2476


8.
Ce2PaCo2 | PBE-GGA | relaxed

## Properties
SG = C2/m
ΔE_f = -0.28 eV per atom

abc: 3.5150 5.9991 5.9886
angles: 61.26 72.94 72.97
Each line ends with the local moment (μB).
Fractional positions:
Co: 0.9987 0.2138 0.2891  0.00
Ce: 0.6978 0.8045 0.3003  0.26
Pa: 0.5000 0.5000 0.0000  0.05
Co: 0.0013 0.7862 0.7109  0.00
Ce: 0.3022 0.1955 0.6997  0.26


9.
CePaCo2 | PBE-GGA | relaxed

## Properties
SG = Cmcm
Offset from the most stable computed form = 40 meV/atom
ΔE_f = -0.30 eV per atom

abc: 4.0979 6.2374 6.5926
angles: 121.86 90.00 90.00
Fractional positions:
Co: 0.7500 0.3291 0.4432
Co: 0.2500 0.6709 0.5568
Co: 0.2500 0.6709 0.1142
Ce: 0.7500 0.8137 0.9068
Co: 0.7500 0.3291 0.8858
Pa: 0.7500 0.7638 0.3819
Pa: 0.2500 0.2362 0.6181
Ce: 0.2500 0.1863 0.0932


10.
CePaCo | PBE-GGA | relaxed

## Properties
SG = I4mm
Offset from the most stable computed form = 32 meV/atom
ΔE_f = -0.16 eV per atom

abc: 3.4113 3.4113 6.0211
angles: 106.46 106.46 90.00
Fractional positions:
Pa: 0.2930 0.2930 0.5861
Ce: 0.0031 0.0031 0.0062
Co: 0.7038 0.7038 0.4077


11.
CePaCo | PBE-GGA | relaxed

## Properties
SG = C2/m
Offset from the most stable computed form = 32 meV/atom
ΔE_f = -0.16 eV per atom

abc: 4.5278 6.9901 7.9914
angles: 96.61 90.00 90.00
Fractional positions:
Pa: 0.5000 0.8719 0.6375
Co: 0.0000 0.9653 0.8312
Co: 0.5000 0.4653 0.3312
Ce: 0.5000 0.2436 0.9251
Pa: 0.5000 0.1281 0.3625
Pa: 0.0000 0.6281 0.8625
Co: 0.0000 0.0347 0.1688
Ce: 0.0000 0.2564 0.5749
Pa: 0.0000 0.3719 0.1375
Co: 0.5000 0.5347 0.6688
Ce: 0.0000 0.7436 0.4251
Ce: 0.5000 0.7564 0.0749


12.
CePaCo4 | PBE-GGA | relaxed

## Properties
SG = F-43m
ΔE_f = -0.31 eV per atom

abc: 4.9721 4.9721 4.9721
angles: 60.00 60.00 60.00
Fractional positions:
Co: 0.1247 0.6251 0.6251
Co: 0.6251 0.1247 0.6251
Co: 0.6251 0.6251 0.6251
Pa: 0.0000 0.0000 0.0000
Ce: 0.2500 0.2500 0.2500
Co: 0.6251 0.6251 0.1247